Entry 1:
Material: AcHo2Tl2Ag2
Method: DFT, PBE-GGA
State: relaxed

Lattice parameters (Å, degrees): 4.9590 4.9590 27.3287 90.00 90.00 120.00
Closest atoms and distances in Å follow each position.
Space group R-3m (No. 166, hexagonal axes)
Unique sites:
Ac (0.0000, 0.0000, 0.0000) (multiplicity 3)  6 Tl 3.54, 2 Ho 3.69
Ho (0.0000, 0.0000, 0.1352) (multiplicity 6)  3 Ag 2.95, 3 Tl 3.29
Tl (0.0000, 0.0000, 0.2573) (multiplicity 6)  3 Ag 3.00, 4 Ho 3.29-3.34
Ag (0.0000, 0.0000, 0.4424) (multiplicity 6)  3 Ho 2.95, 3 Tl 3.00, 1 Ag 3.15

Calculated values
E_form   -229 meV per atom



Entry 2:
Material: Ta2Mn2CrSe6
Method: DFT, PBE-GGA
State: relaxed

Lattice parameters (Å, degrees): 6.2432 11.1396 6.1827 90.00 91.89 90.00
Closest atoms and distances in Å follow each position.
Space group C2/m (No. 12)
Unique sites:
Ta (0.0000, 0.1303, 0.0000) (multiplicity 4)  6 Se 2.60-2.81, 1 Ta 2.90
Mn (0.0000, 0.1697, 0.5000) (multiplicity 4)  6 Se 2.64-2.66
Cr (0.0000, 0.5000, 0.0000) (multiplicity 2)  6 Se 2.57-2.59
Se (0.1625, 0.3294, 0.2325) (multiplicity 8)  1 Cr 2.57, 2 Ta 2.63-2.81, 2 Mn 2.64-2.65
Se (0.2057, 0.0000, 0.2863) (multiplicity 4)  1 Cr 2.59, 2 Ta 2.60, 2 Mn 2.66

Calculated values
Uncorrected formation energy   -5.3 eV/f.u.



Entry 3:
Material: KGaSeO6
Method: DFT, PBE-GGA
State: relaxed

Lattice parameters (Å, degrees): 5.0769 5.0769 6.0744 90.00 90.00 120.00
Closest atoms and distances in Å follow each position.
Space group P312 (No. 149)
Unique sites:
K (0.0000, 0.0000, 0.0000) (multiplicity 1)  6 O 2.77
Ga (0.6667, 0.3333, 0.5000) (multiplicity 1)  6 O 2.00
Se (0.3333, 0.6667, 0.5000) (multiplicity 1)  6 O 1.81
O (0.0290, 0.3929, 0.6724) (multiplicity 6)  1 Se 1.81, 1 Ga 2.00

Calculated values
Uncorrected formation energy   -7.9 eV/f.u.



Entry 4:
Material: PrDy2Ag3
Method: DFT, PBE-GGA
State: relaxed

Lattice parameters (Å, degrees): 3.6577 3.6577 11.1940 90.00 90.00 90.00
Closest atoms and distances in Å follow each position.
Space group P4/mmm (No. 123)
Unique sites:
Pr (0.0000, 0.0000, 0.0000) (multiplicity 1)  8 Ag 3.30, 4 Pr 3.66
Dy (0.0000, 0.0000, 0.3383) (multiplicity 2)  8 Ag 3.11-3.16
Ag (0.5000, 0.5000, 0.1833) (multiplicity 2)  4 Dy 3.11, 4 Pr 3.30
Ag (0.5000, 0.5000, 0.5000) (multiplicity 1)  8 Dy 3.16

Calculated values
E_form   -300 meV per atom



Entry 5:
Material: Dy3Ho5Cd2
Method: DFT, PBE-GGA
State: relaxed

Lattice parameters (Å, degrees): 13.2026 14.3667 6.6035 90.00 90.00 90.00
Closest atoms and distances in Å follow each position.
Space group Ibam (No. 72)
Unique sites:
Dy (0.0000, 0.0000, 0.2500) (multiplicity 4)  4 Cd 3.08, 2 Dy 3.30, 2 Ho 3.45
Dy (0.1407, 0.2182, 0.0000) (multiplicity 8)  6 Ho 3.51-3.88, 4 Cd 3.52-3.81
Ho (0.0000, 0.5000, 0.2500) (multiplicity 4)  8 Ho 3.15-3.30
Ho (0.0978, 0.3272, 0.5000) (multiplicity 8)  1 Cd 2.82
Ho (0.2387, 0.5000, 0.2500) (multiplicity 8)  2 Cd 3.05, 3 Ho 3.15-3.30
Cd (0.1328, 0.1338, 0.5000) (multiplicity 8)  3 Ho 2.82-3.05, 2 Dy 3.08

Calculated values
E_form   177 meV per atom



Entry 6:
Material: Ca2ZrOsW
Method: DFT, PBE-GGA
State: relaxed

Lattice parameters (Å, degrees): 5.3163 5.3163 4.9727 90.00 90.00 90.00
Closest atoms and distances in Å follow each position.
Space group P4/mmm (No. 123)
Unique sites:
Ca (0.0000, 0.5000, 0.0000) (multiplicity 2)  2 W 2.66
Zr (0.0000, 0.0000, 0.5000) (multiplicity 1)  2 W 2.49
Os (0.5000, 0.5000, 0.5000) (multiplicity 1)  8 Ca 3.64, 4 Zr 3.76
W (0.0000, 0.0000, 0.0000) (multiplicity 1)  2 Zr 2.49, 4 Ca 2.66

Calculated values
E_form   1796 meV per atom



Entry 7:
Material: MnAgSb2
Method: DFT, PBE-GGA
State: relaxed

Lattice parameters (Å, degrees): 3.9547 4.0894 5.5705 90.00 105.37 90.00
Closest atoms and distances in Å follow each position.
Space group Pm (No. 6)
Unique sites:
Mn (0.0000, 0.0000, 0.0000) (multiplicity 1)  6 Sb 2.82-2.93, 2 Ag 2.87
Ag (0.7383, 0.5000, 0.6362) (multiplicity 1)  2 Mn 2.87, 6 Sb 2.88-2.93
Sb (0.1893, 0.0000, 0.5253) (multiplicity 1)  2 Mn 2.82-2.93, 4 Ag 2.89-2.93
Sb (0.5360, 0.5000, 0.0995) (multiplicity 1)  2 Ag 2.88-2.90, 4 Mn 2.89-2.90

Calculated values
Uncorrected formation energy   0.6 eV/f.u.



Entry 8:
Material: Co2SiNi
Method: DFT, PBE-GGA
State: relaxed

Lattice parameters (Å, degrees): 8.5231 2.6236 4.1068 90.00 108.85 90.00
Closest atoms and distances in Å follow each position.
Space group C2/m (No. 12)
Unique sites:
Co (0.2310, 0.0000, 0.2375) (multiplicity 4)  2 Si 2.30, 4 Co 2.45-2.46, 3 Ni 2.53-2.56
Si (0.0000, 0.5000, 0.0000) (multiplicity 2)  4 Co 2.30, 4 Ni 2.44
Ni (0.0000, 0.0000, 0.5000) (multiplicity 2)  4 Si 2.44, 6 Co 2.53-2.56, 2 Ni 2.62

Calculated values
Uncorrected formation energy   -1.0 eV/f.u.



Entry 9:
Material: TaFePH2
Method: DFT, PBE-GGA
State: relaxed

Lattice parameters (Å, degrees): 3.4361 3.4361 4.3171 90.00 90.00 90.00
Closest atoms and distances in Å follow each position.
Space group P4/mmm (No. 123)
Unique sites:
Ta (0.0000, 0.0000, 0.0000) (multiplicity 1)  4 P 2.43
Fe (0.5000, 0.5000, 0.5000) (multiplicity 1)  4 H 1.72
P (0.5000, 0.5000, 0.0000) (multiplicity 1)  2 Fe 2.16
H (0.0000, 0.5000, 0.5000) (multiplicity 2)  2 Fe 1.72

Calculated values
E_tot   -31.8 eV per cell



Entry 10:
Material: AcLaTbSc
Method: DFT, PBE-GGA
State: relaxed

Lattice parameters (Å, degrees): 8.1892 8.1892 8.1892 90.00 90.00 90.00
Closest atoms and distances in Å follow each position.
Space group F-43m (No. 216)
Unique sites:
Ac (0.0000, 0.0000, 0.0000) (multiplicity 4)  4 Tb 3.55, 4 Sc 3.55
La (0.0000, 0.0000, 0.5000) (multiplicity 4)  4 Sc 3.55, 4 Tb 3.55
Tb (0.2500, 0.2500, 0.7500) (multiplicity 4)  4 Ac 3.55, 4 La 3.55
Sc (0.2500, 0.2500, 0.2500) (multiplicity 4)  4 Ac 3.55, 4 La 3.55

Calculated values
E_form   102 meV per atom



Entry 11:
Material: ErMnTl
Method: DFT, PBE-GGA
State: relaxed

Lattice parameters (Å, degrees): 10.6951 3.4369 7.7960 90.00 110.36 90.00
Closest atoms and distances in Å follow each position.
Space group C2/m (No. 12)
Unique sites:
Er (0.0993, 0.0000, 0.2157) (multiplicity 4)  3 Mn 2.93-3.14, 4 Tl 3.12-3.20
Mn (0.1861, 0.5000, 0.9744) (multiplicity 4)  2 Mn 2.15
Tl (0.1400, 0.0000, 0.6423) (multiplicity 4)  3 Mn 2.92-3.00, 1 Tl 3.04, 4 Er 3.12-3.20

Calculated values
E_form   191 meV per atom



Entry 12:
Material: Ta6MoRu5
Method: DFT, PBE-GGA
State: relaxed

Lattice parameters (Å, degrees): 4.4371 13.3379 6.5415 90.00 90.00 90.00
Closest atoms and distances in Å follow each position.
Space group Cmmm (No. 65)
Unique sites:
Ta (0.0000, 0.0000, 0.2466) (multiplicity 4)  2 Mo 2.74, 6 Ru 2.77-2.78
Ta (0.0000, 0.3343, 0.2485) (multiplicity 8)  7 Ru 2.73-2.77, 1 Mo 2.74
Mo (0.0000, 0.5000, 0.0000) (multiplicity 2)  8 Ta 2.74
Ru (0.0000, 0.1672, 0.5000) (multiplicity 4)  8 Ta 2.76-2.78
Ru (0.0000, 0.1699, 0.0000) (multiplicity 4)  8 Ta 2.73-2.78
Ru (0.0000, 0.5000, 0.5000) (multiplicity 2)  8 Ta 2.75-2.77

Calculated values
E_form   -335 meV per atom



Entry 13:
Material: TeMo3
Method: DFT, PBE-GGA
State: relaxed

Lattice parameters (Å, degrees): 5.1344 5.1344 5.1344 90.00 90.00 90.00
Closest atoms and distances in Å follow each position.
Space group Pm-3n (No. 223)
Unique sites:
Te (0.0000, 0.0000, 0.0000) (multiplicity 2)  12 Mo 2.87
Mo (0.0000, 0.2500, 0.5000) (multiplicity 6)  2 Mo 2.57, 4 Te 2.87

Calculated values
Polymorph energy (0 for the lowest one)   60 meV/atom
Uncorrected formation energy   1.5 eV/f.u.



Entry 14:
Material: Tb2GaBr
Method: DFT, PBE-GGA
State: relaxed

Lattice parameters (Å, degrees): 3.4620 3.4620 8.1395 90.00 90.00 90.00
Closest atoms and distances in Å follow each position.
Space group P4/mmm (No. 123)
Unique sites:
Tb (0.0000, 0.0000, 0.2248) (multiplicity 2)  4 Ga 3.06, 4 Br 3.32
Ga (0.5000, 0.5000, 0.0000) (multiplicity 1)  8 Tb 3.06
Br (0.5000, 0.5000, 0.5000) (multiplicity 1)  8 Tb 3.32, 4 Br 3.46

Calculated values
Polymorph energy (0 for the lowest one)   36 meV/atom
Uncorrected formation energy   -3.0 eV/f.u.



Entry 15:
Material: TcNi2Ag
Method: DFT, PBE-GGA
State: relaxed

Lattice parameters (Å, degrees): 2.6775 4.4213 9.1950 90.00 90.00 90.00
Closest atoms and distances in Å follow each position.
Space group Imm2 (No. 44)
Unique sites:
Tc (0.0000, 0.0000, 0.0000) (multiplicity 2)  6 Ni 2.46-2.63, 2 Tc 2.68
Ni (0.0000, 0.0000, 0.4481) (multiplicity 2)  4 Ni 2.45-2.68, 4 Tc 2.63
Ni (0.0000, 0.5000, 0.7250) (multiplicity 2)  4 Ni 2.45-2.68, 2 Tc 2.46, 4 Ag 2.59
Ag (0.0000, 0.5000, 0.2158) (multiplicity 2)  6 Ni 2.59-2.80, 2 Ag 2.68

Calculated values
Polymorph energy (0 for the lowest one)   230 meV/atom
E_form   340 meV per atom



Entry 16:
Material: Ho3Bi2Sb
Method: DFT, PBE-GGA
State: relaxed

Lattice parameters (Å, degrees): 4.4262 6.2590 13.2957 90.00 90.00 90.00
Closest atoms and distances in Å follow each position.
Space group Immm (No. 71)
Unique sites:
Ho (0.0000, 0.0000, 0.0000) (multiplicity 2)  2 Sb 3.13, 4 Bi 3.14
Ho (0.0000, 0.0000, 0.3375) (multiplicity 4)  2 Sb 3.09, 4 Bi 3.13-3.16
Bi (0.0000, 0.5000, 0.3320) (multiplicity 4)  6 Ho 3.13-3.16
Sb (0.0000, 0.5000, 0.0000) (multiplicity 2)  6 Ho 3.09-3.13

Calculated values
Uncorrected formation energy   -5.6 eV/f.u.



Entry 17:
Material: CeCdPd4
Method: DFT, PBE-GGA
State: relaxed

Lattice parameters (Å, degrees): 4.1821 18.9127 5.7730 90.00 90.00 90.00
Closest atoms and distances in Å follow each position.
Space group Cmcm (No. 63)
Unique sites:
Ce (0.0000, 0.0843, 0.2500) (multiplicity 4)  11 Pd 2.86-3.00
Cd (0.0000, 0.2271, 0.7500) (multiplicity 4)  7 Pd 2.76-2.90
Pd (0.0000, 0.0745, 0.7500) (multiplicity 4)  1 Cd 2.89, 3 Ce 2.89-3.00, 8 Pd 2.89-2.90
Pd (0.0000, 0.3498, 0.0087) (multiplicity 8)  3 Cd 2.76-2.90, 5 Pd 2.79-2.99, 2 Ce 2.86
Pd (0.0000, 0.5000, 0.0000) (multiplicity 4)  8 Pd 2.84-2.90, 4 Ce 3.00

Calculated values
E_form   -599 meV per atom



Entry 18:
Material: Nb2GaB2Os5
Method: DFT, PBE-GGA
State: relaxed

Lattice parameters (Å, degrees): 9.4383 9.4383 2.9901 90.00 90.00 90.00
Closest atoms and distances in Å follow each position.
Space group P4/mbm (No. 127)
Unique sites:
Nb (0.1774, 0.3226, 0.0000) (multiplicity 4)  3 B 2.64-2.89, 10 Os 2.80-2.93
Ga (0.0000, 0.0000, 0.0000) (multiplicity 2)  8 Os 2.60
B (0.1247, 0.6247, 0.0000) (multiplicity 4)  6 Os 2.19-2.24
Os (0.0000, 0.5000, 0.5000) (multiplicity 2)  4 B 2.24
Os (0.0675, 0.7845, 0.5000) (multiplicity 8)  2 B 2.19

Calculated values
E_form   -333 meV per atom



Entry 19:
Material: LaMoPb2
Method: DFT, PBE-GGA
State: relaxed

Lattice parameters (Å, degrees): 4.5979 4.5979 10.2444 90.00 90.00 90.00
Closest atoms and distances in Å follow each position.
Space group I-4m2 (No. 119)
Unique sites:
La (0.0000, 0.0000, 0.0000) (multiplicity 2)  8 Pb 3.25-3.44, 4 Mo 3.44
Mo (0.0000, 0.5000, 0.7500) (multiplicity 2)  8 Pb 3.25-3.44, 4 La 3.44
Pb (0.0000, 0.0000, 0.5000) (multiplicity 2)  4 La 3.25, 4 Mo 3.44, 4 Pb 3.44
Pb (0.0000, 0.5000, 0.2500) (multiplicity 2)  4 Mo 3.25, 4 La 3.44, 4 Pb 3.44

Calculated values
Polymorph energy (0 for the lowest one)   174 meV/atom
E_form   335 meV per atom



Entry 20:
Material: Ca2InHg6
Method: DFT, PBE-GGA
State: relaxed

Lattice parameters (Å, degrees): 15.2740 8.8147 3.4708 90.00 90.77 90.00
Closest atoms and distances in Å follow each position.
Space group C2/m (No. 12)
Unique sites:
Ca (0.1666, 0.0000, 0.0001) (multiplicity 4)  12 Hg 3.40-3.43, 2 Ca 3.47
In (0.0000, 0.5000, 0.0000) (multiplicity 2)  12 Hg 3.37-3.44, 2 In 3.47
Hg (0.0000, 0.1674, 0.5000) (multiplicity 4)  3 Hg 2.93-2.95
Hg (0.1664, 0.3337, 0.4902) (multiplicity 8)  3 Hg 2.93-2.95

Calculated values
Polymorph energy (0 for the lowest one)   22 meV/atom
E_form   -287 meV per atom



Entry 21:
Material: Be2CrHgMo
Method: DFT, PBE-GGA
State: relaxed

Lattice parameters (Å, degrees): 4.1478 4.1478 4.7739 90.00 90.00 90.00
Closest atoms and distances in Å follow each position.
Space group P4/mmm (No. 123)
Unique sites:
Be (0.0000, 0.5000, 0.0000) (multiplicity 2)  2 Cr 2.07
Cr (0.0000, 0.0000, 0.0000) (multiplicity 1)  4 Be 2.07
Hg (0.0000, 0.0000, 0.5000) (multiplicity 1)  2 Cr 2.39
Mo (0.5000, 0.5000, 0.5000) (multiplicity 1)  4 Hg 2.93, 8 Be 3.16

Calculated values
E_form   1495 meV per atom



Entry 22:
Material: Ba6HgI5
Method: DFT, PBE-GGA
State: relaxed

Lattice parameters (Å, degrees): 8.8762 15.1373 8.5889 90.00 109.35 90.00
Closest atoms and distances in Å follow each position.
Space group C2/m (No. 12)
Unique sites:
Ba (0.2276, 0.0000, 0.2531) (multiplicity 4)  1 Hg 3.38, 5 I 3.61-3.75
Ba (0.2325, 0.1564, 0.7337) (multiplicity 8)  1 Hg 3.34, 5 I 3.57-3.64
Hg (0.0000, 0.0000, 0.5000) (multiplicity 2)  6 Ba 3.34-3.38
I (0.0000, 0.1822, 0.0000) (multiplicity 4)  6 Ba 3.57-3.67
I (0.0000, 0.3370, 0.5000) (multiplicity 4)  6 Ba 3.58-3.61
I (0.0000, 0.5000, 0.0000) (multiplicity 2)  6 Ba 3.59-3.75

Calculated values
Uncorrected formation energy   -14.3 eV/f.u.



Entry 23:
Material: Tl3TcI
Method: DFT, PBE-GGA
State: relaxed

Lattice parameters (Å, degrees): 5.4432 5.4432 5.4432 90.00 90.00 90.00
Closest atoms and distances in Å follow each position.
Space group Pm-3m (No. 221)
Unique sites:
Tl (0.0000, 0.0000, 0.5000) (multiplicity 3)  2 Tc 2.72
Tc (0.0000, 0.0000, 0.0000) (multiplicity 1)  6 Tl 2.72
I (0.5000, 0.5000, 0.5000) (multiplicity 1)  12 Tl 3.85

Calculated values
Polymorph energy (0 for the lowest one)   0 meV/atom
Uncorrected formation energy   1.5 eV/f.u.



Entry 24:
Material: K2TlTeO
Method: DFT, PBE-GGA
State: relaxed

Lattice parameters (Å, degrees): 5.4850 5.4850 4.7285 90.00 90.00 90.00
Closest atoms and distances in Å follow each position.
Space group P4/mmm (No. 123)
Unique sites:
K (0.0000, 0.5000, 0.0000) (multiplicity 2)  2 O 2.74
Tl (0.0000, 0.0000, 0.5000) (multiplicity 1)  2 O 2.36
Te (0.5000, 0.5000, 0.5000) (multiplicity 1)  8 K 3.62, 4 Tl 3.88
O (0.0000, 0.0000, 0.0000) (multiplicity 1)  2 Tl 2.36

Calculated values
Uncorrected formation energy   -4.3 eV/f.u.



Entry 25:
Material: SiSeN2F
Method: DFT, PBE-GGA
State: relaxed

Lattice parameters (Å, degrees): 3.9254 3.9254 4.1273 90.00 90.00 90.00
Closest atoms and distances in Å follow each position.
Space group P4/mmm (No. 123)
Unique sites:
Si (0.0000, 0.0000, 0.0000) (multiplicity 1)  4 F 2.78, 8 N 2.85
Se (0.5000, 0.5000, 0.5000) (multiplicity 1)  4 N 1.96, 2 F 2.06
N (0.0000, 0.5000, 0.5000) (multiplicity 2)  2 Se 1.96
F (0.5000, 0.5000, 0.0000) (multiplicity 1)  2 Se 2.06

Calculated values
Polymorph energy (0 for the lowest one)   1011 meV/atom
Uncorrected formation energy   5.5 eV/f.u.